This record from Alexandria via LeMat-Bulk describes LaTa2Hg after structural relaxation. The functional is PBE.

**Magnetic moment**: 0.00 μB/atom
**E_form**: 0.444 eV per atom
**SG**: I-4m2, No. 119
**Calculated volume**: 89 Å³/f.u.
**Electronic total energy**: -27.16 eV per formula unit

```
4
Lattice="4.888 -1.007 -0.476 1.062 4.877 0.476 -2.716 -2.333 3.508" Properties=species:S:1:pos:R:3 pbc="T T T"
Hg 2.975 1.935 0.000
La 2.574 -0.702 1.516
Ta 5.950 3.870 0.000
Ta 0.661 2.239 1.992
```